#P
The following is a PBE calculation of a relaxed structure of Te2AsAu2, from Alexandria.

Cell and atoms, written as extended XYZ:
```
10
Lattice="8.005 0.000 0.000 0.000 8.005 0.000 0.000 0.000 3.824" Properties=species:S:1:pos:R:3 pbc="T T T"
Te 1.578 2.424 0.000
Te 2.424 6.427 0.000
Te 5.581 1.578 0.000
Te 6.427 5.581 0.000
As 0.000 0.000 0.000
As 4.002 4.002 0.000
Au 0.967 4.969 1.912
Au 3.035 0.967 1.912
Au 4.969 7.038 1.912
Au 7.038 3.035 1.912
```

Calculated values
- ρ (g cm⁻³) = 9.81
- space-group type = P4/mbm, No. 127


#Q
The following is a PBE calculation of a relaxed structure of Te2AsAu2, from Alexandria.

Cell and atoms, written as extended XYZ:
```
10
Lattice="7.624 0.000 0.000 0.000 7.624 0.000 0.000 0.000 3.967" Properties=species:S:1:pos:R:3 pbc="T T T"
Te 1.325 2.486 0.000
Te 2.486 6.298 0.000
Te 5.137 1.325 0.000
Te 6.298 5.137 0.000
As 0.000 0.000 1.984
As 3.812 3.812 1.984
Au 1.016 4.828 1.984
Au 2.796 1.016 1.984
Au 4.828 6.608 1.984
Au 6.608 2.796 1.984
```

Calculated values
- ρ (g cm⁻³) = 10.43
- space-group type = P4/mbm, No. 127


We find #P to be the most stable, with the next structure 59 meV per atom higher.


#P
The following is a PBE calculation of a relaxed structure of Te3AsAu, from Alexandria.

Cell and atoms, written as extended XYZ:
```
10
Lattice="5.857 0.000 0.000 0.001 5.861 0.000 2.491 0.008 8.507" Properties=species:S:1:pos:R:3 pbc="T T T"
Te 0.000 0.000 0.000
Te 2.431 2.936 5.804
Te 2.668 1.178 3.057
Te 2.798 2.653 0.234
Te 5.492 5.589 5.570
Te 5.623 4.104 2.741
As 2.653 0.011 0.652
As 5.636 2.947 5.152
Au 2.584 5.849 5.642
Au 5.706 2.913 0.160
```

Calculated values
- ρ (g cm⁻³) = 7.45
- space-group type = P1, No. 1


#Q
The following is a PBE calculation of a relaxed structure of Te3AsAu, from Alexandria.

Cell and atoms, written as extended XYZ:
```
5
Lattice="5.384 0.000 0.000 0.000 5.384 0.000 0.000 0.000 5.384" Properties=species:S:1:pos:R:3 pbc="T T T"
Te 0.000 0.000 2.692
Te 0.000 2.692 0.000
Te 2.692 0.000 0.000
As 2.692 2.692 2.692
Au 0.000 0.000 0.000
```

Calculated values
- ρ (g cm⁻³) = 6.97
- space-group type = Pm-3m, No. 221


We find #P to be the most stable, with the next structure 628 meV per atom higher.


#P
The following is a PBE calculation of a relaxed structure of Te2As2Au, from Alexandria.

Cell and atoms, written as extended XYZ:
```
5
Lattice="-2.854 2.854 4.142 2.854 -2.854 4.142 2.854 2.854 -4.142" Properties=species:S:1:pos:R:3 pbc="T T T"
Te 2.854 0.000 2.071
Te 0.000 2.854 2.071
As 0.000 0.000 1.631
As 0.000 0.000 6.652
Au 0.000 0.000 4.142
```

Calculated values
- ρ (g cm⁻³) = 7.41
- space-group type = I4/mmm, No. 139


#Q
The following is a PBE calculation of a relaxed structure of Te2As2Au, from Alexandria.

Cell and atoms, written as extended XYZ:
```
10
Lattice="7.930 0.000 0.000 0.000 7.930 0.000 0.000 0.000 4.024" Properties=species:S:1:pos:R:3 pbc="T T T"
Te 1.173 2.792 0.000
Te 2.792 6.757 0.000
Te 5.138 1.173 0.000
Te 6.757 5.138 0.000
As 1.513 5.477 2.012
As 2.452 1.513 2.012
As 5.477 6.417 2.012
As 6.417 2.452 2.012
Au 0.000 0.000 2.012
Au 3.965 3.965 2.012
```

Calculated values
- ρ (g cm⁻³) = 7.90
- space-group type = P4/mbm, No. 127


#R
The following is a PBE calculation of a relaxed structure of Te2As2Au, from Alexandria.

Cell and atoms, written as extended XYZ:
```
5
Lattice="-1.917 1.917 8.221 1.917 -1.917 8.221 1.917 1.917 -8.221" Properties=species:S:1:pos:R:3 pbc="T T T"
Te 0.000 0.000 1.517
Te 0.000 0.000 14.925
As 1.917 0.000 4.111
As 0.000 1.917 4.111
Au 0.000 0.000 8.221
```

Calculated values
- ρ (g cm⁻³) = 8.27
- space-group type = I4/mmm, No. 139


We find #P to be the most stable, with the next structure 98 meV per atom higher.


#P
The following is a PBE calculation of a relaxed structure of Te4AsAu, from Alexandria.

Cell and atoms, written as extended XYZ:
```
6
Lattice="0.000 4.401 4.401 4.401 0.000 4.401 4.401 4.401 0.000" Properties=species:S:1:pos:R:3 pbc="T T T"
Te 1.096 1.096 1.096
Te 3.304 3.304 1.096
Te 3.304 1.096 3.304
Te 1.096 3.304 3.304
As 6.601 6.601 6.601
Au 4.401 4.401 4.401
```

Calculated values
- ρ (g cm⁻³) = 7.62
- space-group type = F-43m, No. 216


#Q
The following is a PBE calculation of a relaxed structure of Te4AsAu, from Alexandria.

Cell and atoms, written as extended XYZ:
```
6
Lattice="6.412 -2.130 0.000 6.412 2.130 0.000 -4.046 0.000 6.016" Properties=species:S:1:pos:R:3 pbc="T T T"
Te -0.066 0.000 2.927
Te 4.406 0.000 0.149
Te 4.372 0.000 5.866
Te 8.844 0.000 3.088
As 0.000 0.000 0.000
Au 4.389 0.000 3.008
```

Calculated values
- ρ (g cm⁻³) = 7.91
- space-group type = C2/m, No. 12


We find #Q to be the most stable, with the next structure 776 meV per atom higher.


#P
The following is a PBE calculation of a relaxed structure of Tl2AsAu, from Alexandria.

Cell and atoms, written as extended XYZ:
```
4
Lattice="2.113 1.220 6.683 -2.113 1.220 6.683 0.000 -2.440 6.683" Properties=species:S:1:pos:R:3 pbc="T T T"
Tl 0.000 0.000 4.989
Tl 0.000 0.000 15.059
As 0.000 0.000 10.024
Au 0.000 0.000 0.000
```

Calculated values
- ρ (g cm⁻³) = 10.94
- space-group type = R-3m, No. 166


#Q
The following is a PBE calculation of a relaxed structure of Tl2AsAu, from Alexandria.

Cell and atoms, written as extended XYZ:
```
4
Lattice="-1.699 2.665 5.665 1.699 -2.665 5.665 1.699 2.665 -5.665" Properties=species:S:1:pos:R:3 pbc="T T T"
Tl 0.000 0.000 0.000
Tl 0.000 2.665 2.225
As 1.699 0.000 3.107
Au 0.000 0.000 5.090
```

Calculated values
- ρ (g cm⁻³) = 11.01
- space-group type = Imm2, No. 44


We find #Q to be the most stable, with the next structure 42 meV per atom higher.


#P
The following is a PBE calculation of a relaxed structure of Tl2AsAu, from Alexandria.

Cell and atoms, written as extended XYZ:
```
4
Lattice="0.000 3.666 3.666 3.666 0.000 3.666 3.666 3.666 0.000" Properties=species:S:1:pos:R:3 pbc="T T T"
Tl 1.833 1.833 1.833
Tl 5.499 5.499 5.499
As 0.000 0.000 0.000
Au 3.666 3.666 3.666
```

Calculated values
- ρ (g cm⁻³) = 11.47
- space-group type = Fm-3m, No. 225


#Q
The following is a PBE calculation of a relaxed structure of Tl2AsAu, from Alexandria.

Cell and atoms, written as extended XYZ:
```
4
Lattice="2.238 1.292 6.751 -2.238 1.292 6.751 0.000 -2.585 6.751" Properties=species:S:1:pos:R:3 pbc="T T T"
Tl 0.000 0.000 0.000
Tl 0.000 0.000 4.059
As 0.000 0.000 15.494
Au 0.000 0.000 8.837
```

Calculated values
- ρ (g cm⁻³) = 9.65
- space-group type = R3m, No. 160


#R
The following is a PBE calculation of a relaxed structure of Tl2AsAu, from Alexandria.

Cell and atoms, written as extended XYZ:
```
4
Lattice="4.276 0.000 0.000 0.000 4.606 0.000 -0.297 0.000 4.987" Properties=species:S:1:pos:R:3 pbc="T T T"
Tl 0.000 0.000 0.000
Tl 2.138 2.303 0.000
As -0.148 2.303 2.494
Au 1.990 0.000 2.494
```

Calculated values
- ρ (g cm⁻³) = 11.51
- space-group type = P2/m, No. 10


We find #Q to be the most stable, with the next structure 259 meV per atom higher.


#P
The following is a PBE calculation of a relaxed structure of Tl2AsAu, from Alexandria.

Cell and atoms, written as extended XYZ:
```
4
Lattice="5.220 -1.597 0.000 5.220 1.597 0.000 -0.997 0.000 5.844" Properties=species:S:1:pos:R:3 pbc="T T T"
Tl 2.328 0.000 1.441
Tl 7.115 0.000 4.403
As -0.499 0.000 2.922
Au 5.220 0.000 0.000
```

Calculated values
- ρ (g cm⁻³) = 11.60
- space-group type = C2/m, No. 12


#Q
The following is a PBE calculation of a relaxed structure of Tl2AsAu, from Alexandria.

Cell and atoms, written as extended XYZ:
```
4
Lattice="3.845 -3.834 0.000 3.845 3.834 0.000 -0.084 0.000 3.324" Properties=species:S:1:pos:R:3 pbc="T T T"
Tl 1.922 1.917 0.000
Tl 1.922 -1.917 0.000
As -0.042 0.000 1.662
Au 3.803 0.000 1.662
```

Calculated values
- ρ (g cm⁻³) = 11.54
- space-group type = C2/m, No. 12


We find #Q to be the most stable, with the next structure 69 meV per atom higher.


#P
The following is a PBE calculation of a relaxed structure of Tl2AsAu, from Alexandria.

Cell and atoms, written as extended XYZ:
```
4
Lattice="3.351 0.000 0.000 0.000 4.984 0.000 -0.143 0.000 5.966" Properties=species:S:1:pos:R:3 pbc="T T T"
Tl 0.434 0.000 1.494
Tl 2.774 0.000 4.472
As 1.604 2.492 2.983
Au 1.676 2.492 0.000
```

Calculated values
- ρ (g cm⁻³) = 11.34
- space-group type = P2/m, No. 10


#Q
The following is a PBE calculation of a relaxed structure of Tl2AsAu, from Alexandria.

Cell and atoms, written as extended XYZ:
```
4
Lattice="3.516 0.000 0.000 0.000 3.810 0.000 0.000 0.000 7.983" Properties=species:S:1:pos:R:3 pbc="T T T"
Tl 0.000 0.000 0.000
Tl 1.758 1.905 2.605
As 0.000 0.000 4.937
Au 1.758 1.905 5.689
```

Calculated values
- ρ (g cm⁻³) = 10.57
- space-group type = Pmm2, No. 25


#R
The following is a PBE calculation of a relaxed structure of Tl2AsAu, from Alexandria.

Cell and atoms, written as extended XYZ:
```
4
Lattice="4.571 0.000 0.000 0.000 2.825 4.310 0.000 -2.825 4.310" Properties=species:S:1:pos:R:3 pbc="T T T"
Tl 0.000 0.000 0.000
Tl 2.285 0.000 3.093
As 0.000 0.000 5.316
Au 2.285 0.000 6.478
```

Calculated values
- ρ (g cm⁻³) = 10.15
- space-group type = Amm2, No. 38


We find #R to be the most stable, with the next structure 94 meV per atom higher.


#P
The following is a PBE calculation of a relaxed structure of Tl2AsAu, from Alexandria.

Cell and atoms, written as extended XYZ:
```
8
Lattice="-3.507 3.507 5.247 3.507 -3.507 5.247 3.507 3.507 -5.247" Properties=species:S:1:pos:R:3 pbc="T T T"
Tl 5.261 1.698 -1.312
Tl 1.698 1.754 1.312
Tl -1.754 1.809 3.935
Tl 1.809 1.754 6.559
As 0.000 0.000 0.000
As 0.000 3.507 2.624
Au 3.507 0.000 2.624
Au 0.000 0.000 5.247
```

Calculated values
- ρ (g cm⁻³) = 8.75
- space-group type = I-42d, No. 122


#Q
The following is a PBE calculation of a relaxed structure of Tl2AsAu, from Alexandria.

Cell and atoms, written as extended XYZ:
```
4
Lattice="2.166 1.250 6.551 -2.166 1.250 6.551 0.000 -2.501 6.551" Properties=species:S:1:pos:R:3 pbc="T T T"
Tl 0.000 0.000 0.000
Tl 0.000 0.000 3.426
As 0.000 0.000 11.412
Au 0.000 0.000 8.279
```

Calculated values
- ρ (g cm⁻³) = 10.62
- space-group type = R3m, No. 160


We find #Q to be the most stable, with the next structure 64 meV per atom higher.


#P
The following is a PBE calculation of a relaxed structure of TlAs2Au2, from Alexandria.

Cell and atoms, written as extended XYZ:
```
10
Lattice="8.468 0.000 0.000 0.000 8.468 0.000 0.000 0.000 2.981" Properties=species:S:1:pos:R:3 pbc="T T T"
Tl 0.000 0.000 0.000
Tl 4.234 4.234 0.000
As 1.203 3.031 1.491
As 3.031 7.265 1.491
As 5.437 1.203 1.491
As 7.265 5.437 1.491
Au 1.329 5.563 0.000
Au 2.905 1.329 0.000
Au 5.563 7.139 0.000
Au 7.139 2.905 0.000
```

Calculated values
- ρ (g cm⁻³) = 11.62
- space-group type = P4/mbm, No. 127


#Q
The following is a PBE calculation of a relaxed structure of TlAs2Au2, from Alexandria.

Cell and atoms, written as extended XYZ:
```
5
Lattice="-2.315 2.315 5.371 2.315 -2.315 5.371 2.315 2.315 -5.371" Properties=species:S:1:pos:R:3 pbc="T T T"
Tl 0.000 0.000 0.000
As 0.000 0.000 4.111
As 0.000 0.000 6.632
Au 2.315 0.000 2.686
Au 0.000 2.315 2.686
```

Calculated values
- ρ (g cm⁻³) = 10.79
- space-group type = I4/mmm, No. 139


We find #Q to be the most stable, with the next structure 123 meV per atom higher.


#P
The following is a PBE calculation of a relaxed structure of Tl3AsAu, from Alexandria.

Cell and atoms, written as extended XYZ:
```
10
Lattice="4.697 0.000 0.000 0.000 9.212 0.000 0.000 0.000 6.419" Properties=species:S:1:pos:R:3 pbc="T T T"
Tl 1.174 0.370 1.567
Tl 1.174 2.303 4.660
Tl 1.174 4.236 1.567
Tl 3.523 4.976 4.852
Tl 3.523 6.909 1.759
Tl 3.523 8.842 4.852
As 1.174 6.909 3.744
As 3.523 2.303 2.675
Au 1.174 6.909 6.296
Au 3.523 2.303 0.123
```

Calculated values
- ρ (g cm⁻³) = 10.58
- space-group type = Pmmn, No. 59


#Q
The following is a PBE calculation of a relaxed structure of Tl3AsAu, from Alexandria.

Cell and atoms, written as extended XYZ:
```
5
Lattice="5.595 0.000 0.000 0.000 5.595 0.000 0.000 0.000 5.595" Properties=species:S:1:pos:R:3 pbc="T T T"
Tl 0.000 0.000 2.797
Tl 0.000 2.797 0.000
Tl 2.797 0.000 0.000
As 0.000 0.000 0.000
Au 2.797 2.797 2.797
```

Calculated values
- ρ (g cm⁻³) = 8.39
- space-group type = Pm-3m, No. 221


#R
The following is a PBE calculation of a relaxed structure of Tl3AsAu, from Alexandria.

Cell and atoms, written as extended XYZ:
```
5
Lattice="5.486 0.000 0.000 0.000 5.486 0.000 0.000 0.000 5.486" Properties=species:S:1:pos:R:3 pbc="T T T"
Tl 0.000 0.000 2.743
Tl 0.000 2.743 0.000
Tl 2.743 0.000 0.000
As 2.743 2.743 2.743
Au 0.000 0.000 0.000
```

Calculated values
- ρ (g cm⁻³) = 8.90
- space-group type = Pm-3m, No. 221


We find #P to be the most stable, with the next structure 317 meV per atom higher.